Entry 1:
VASP calculation (PBE-GGA) on a relaxed LaInCu2 crystal.

Properties
**ΔH_f (0 K)**: -0.2 eV/f.u.
**Fermi-level density of states**: 0.785 states/eV per atom

abc: 4.832 4.835 3.650
angles: 90.00 90.00 90.00
Fractional coordinates of all 4 atoms:
Cu: 0.500 0.500 0.000
Cu: 0.000 0.000 0.000
In: 0.500 0.000 0.500
La: 0.000 0.500 0.500



Entry 2:
VASP calculation (PBE-GGA) on a relaxed LaInCu2 crystal.

Properties
**ΔH_f (0 K)**: -0.8 eV/f.u.
**Fermi-level density of states**: 0.588 states/eV per atom

abc: 4.293 4.177 5.299
angles: 66.98 90.00 90.00
Fractional coordinates of all 4 atoms:
Cu: 0.000 0.182 0.008
Cu: 0.500 0.065 0.254
In: 0.000 0.482 0.407
La: 0.500 0.771 0.831



Entry 3:
VASP calculation (PBE-GGA) on a relaxed LaIn2Cu9 crystal.

Properties
**ΔH_f (0 K)**: -1.5 eV/f.u.
**ΔE to the lowest computed polymorph**: 0.016 eV/atom
**Fermi-level density of states**: 0.464 states/eV per atom

abc: 5.132 5.132 16.300
angles: 90.00 90.00 120.00
Fractional coordinates of all 24 atoms:
Cu: 0.832 0.664 0.877
Cu: 0.168 0.336 0.377
Cu: 0.832 0.664 0.623
Cu: 0.000 0.000 0.000
Cu: 0.000 0.000 0.500
Cu: 0.000 0.000 0.250
Cu: 0.168 0.336 0.123
Cu: 0.664 0.832 0.123
Cu: 0.336 0.168 0.877
Cu: 0.667 0.333 0.750
Cu: 0.168 0.832 0.377
Cu: 0.168 0.832 0.123
Cu: 0.333 0.667 0.250
Cu: 0.832 0.168 0.623
Cu: 0.000 0.000 0.750
Cu: 0.664 0.832 0.377
Cu: 0.336 0.168 0.623
Cu: 0.832 0.168 0.877
La: 0.333 0.667 0.750
La: 0.667 0.333 0.250
In: 0.333 0.667 0.537
In: 0.667 0.333 0.037
In: 0.333 0.667 0.963
In: 0.667 0.333 0.463



Entry 4:
VASP calculation (PBE-GGA) on a relaxed LaInCu2 crystal.

Properties
**ΔH_f (0 K)**: 0.1 eV/f.u.
**Fermi-level density of states**: 1.131 states/eV per atom

abc: 4.771 4.771 9.529
angles: 75.50 75.50 90.00
Fractional coordinates of all 8 atoms:
Cu: 0.335 0.625 0.250
Cu: 0.415 0.125 0.250
Cu: 0.375 0.585 0.750
Cu: 0.875 0.665 0.750
In: 0.500 0.500 0.000
In: 0.250 0.750 0.500
La: 0.000 0.000 0.000
La: 0.750 0.250 0.500



Entry 5:
VASP calculation (PBE-GGA) on a relaxed La2In2Cu15 crystal.

Properties
**ΔH_f (0 K)**: -1.6 eV/f.u.
**Fermi-level density of states**: 0.651 states/eV per atom

abc: 6.702 6.702 6.702
angles: 82.97 82.97 82.97
Fractional coordinates of all 19 atoms:
Cu: 0.348 0.844 0.348
Cu: 0.348 0.348 0.844
Cu: 0.000 0.301 0.699
Cu: 0.156 0.652 0.652
Cu: 0.844 0.348 0.348
Cu: 0.652 0.652 0.156
Cu: 0.000 0.500 0.000
Cu: 0.301 0.000 0.699
Cu: 0.699 0.000 0.301
Cu: 0.000 0.699 0.301
Cu: 0.699 0.301 0.000
Cu: 0.301 0.699 0.000
Cu: 0.652 0.156 0.652
Cu: 0.000 0.000 0.500
Cu: 0.500 0.000 0.000
In: 0.108 0.108 0.108
In: 0.892 0.892 0.892
La: 0.356 0.356 0.356
La: 0.644 0.644 0.644



Entry 6:
VASP calculation (PBE-GGA) on a relaxed LaIn2Cu2 crystal.

Properties
**ΔH_f (0 K)**: -0.4 eV/f.u.
**Fermi-level density of states**: 0.487 states/eV per atom

abc: 8.132 8.132 3.208
angles: 90.00 90.00 90.00
Fractional coordinates of all 10 atoms:
In: 0.329 0.171 0.500
In: 0.171 0.671 0.500
In: 0.671 0.829 0.500
In: 0.829 0.329 0.500
Cu: 0.885 0.615 0.000
Cu: 0.385 0.885 0.000
Cu: 0.615 0.115 0.000
Cu: 0.115 0.385 0.000
La: 0.500 0.500 0.000
La: 0.000 0.000 0.000